Li2V2Si2O9 (PBE with a Hubbard U, relaxed); VASP energy = -109.516 eV/f.u.; space-group type = No. 60
1.0
8.384 0.000 0.000
0.000 5.272 0.000
0.000 0.000 14.222
Li V Si O
8 8 8 36
direct
0.035 0.085 0.162
0.035 0.915 0.662
0.465 0.415 0.662
0.465 0.585 0.162
0.535 0.415 0.838
0.535 0.585 0.338
0.965 0.085 0.338
0.965 0.915 0.838
0.157 0.415 0.828
0.157 0.585 0.328
0.343 0.085 0.328
0.343 0.915 0.828
0.657 0.085 0.172
0.657 0.915 0.672
0.843 0.415 0.672
0.843 0.585 0.172
0.156 0.260 0.527
0.156 0.740 0.027
0.344 0.240 0.027
0.344 0.760 0.527
0.656 0.240 0.473
0.656 0.760 0.973
0.844 0.260 0.973
0.844 0.740 0.473
0.000 0.440 0.250
0.000 0.560 0.750
0.016 0.283 0.923
0.016 0.717 0.423
0.153 0.254 0.412
0.153 0.746 0.912
0.173 0.084 0.771
0.173 0.916 0.271
0.224 0.015 0.066
0.224 0.985 0.566
0.276 0.485 0.566
0.276 0.515 0.066
0.327 0.416 0.271
0.327 0.584 0.771
0.347 0.246 0.912
0.347 0.754 0.412
0.484 0.217 0.423
0.484 0.783 0.923
0.500 0.060 0.750
0.500 0.940 0.250
0.516 0.217 0.077
0.516 0.783 0.577
0.653 0.246 0.588
0.653 0.754 0.088
0.673 0.416 0.229
0.673 0.584 0.729
0.724 0.485 0.934
0.724 0.515 0.434
0.776 0.015 0.434
0.776 0.985 0.934
0.827 0.084 0.729
0.827 0.916 0.229
0.847 0.254 0.088
0.847 0.746 0.588
0.984 0.283 0.577
0.984 0.717 0.077